This record from OQMD describes BaAsPtO after structural relaxation. The functional is PBE.

Results
* ρ: 8.48 Mg/m³
* ΔE to the lowest computed polymorph: 0.281 eV/atom
* final energy: -5.36 eV/atom

Geometry as POSCAR:
```
BaAsPtO
1.0
4.093 0.000 0.000
0.000 4.996 0.000
0.000 0.000 8.110
Ba As Pt O
2 2 2 2
Cartesian
0.000 1.028 0.000
0.000 3.968 4.055
2.046 1.388 5.324
2.046 3.608 1.269
2.046 1.615 2.819
2.046 3.381 6.874
0.000 1.213 2.640
0.000 3.783 6.696
```